## Tm6BiAs2P3 (PBE-GGA)

Data for Tm6BiAs2P3 after structural relaxation.

Calculated values
- Calculated total energy: -6.084 eV per atom
- N(E_F): 1.68 states/eV/cell
- Symmetry: C2/m, No. 12
- Formation enthalpy at 0 K: -135 kJ/mol of atoms

Cell lengths 4.0359, 8.1877, 9.1018 Å; angles 103.22, 102.81, 90.00 degrees
Sites, in units of the cell vectors:
Bi1 0.5000 0.0000 0.0000
As1 0.8332 0.6659 0.6665
As2 0.1668 0.3341 0.3335
Tm1 0.3244 0.9157 0.6488
Tm2 0.9986 0.2727 0.9973
Tm3 0.0014 0.7273 0.0027
Tm4 0.3330 0.4129 0.6661
Tm5 0.6670 0.5871 0.3339
Tm6 0.6756 0.0843 0.3512
P1 0.1655 0.8316 0.3311
P2 0.8345 0.1684 0.6689
P3 0.5000 0.5000 0.0000